PaBe2FeO6 PBE with a Hubbard U relaxed; calculated total energy = -0.281 hartree per atom; DOS at the Fermi energy = 0.000 states/eV/f.u.
1.0
-0.214 0.835 -4.818
-3.567 -2.016 -2.677
-4.165 3.644 -1.670
Fe O Be Pa
1 6 2 1
direct
0.000 0.000 0.000
0.241 0.947 0.229
0.947 0.582 0.229
0.759 0.053 0.771
0.418 0.759 0.771
0.053 0.418 0.771
0.582 0.241 0.229
0.269 0.269 0.194
0.731 0.731 0.806
0.500 0.500 0.500